[1]
{
  "formula": "ZnCd2Hg",
  "functional": "PBE-GGA",
  "state": "optimized geometry",
  "e_above_lowest_polymorph_mev_per_atom": 29.2,
  "e_form_kj_per_mol_fu": 31,
  "crystal_system": "orthorhombic",
  "cell": [[2.9431, 0.0000, 0.0000], [0.0000, 5.4292, 0.0000], [0.0000, 0.0000, 5.4545]],
  "species": ["Cd", "Cd", "Hg", "Zn"],
  "frac_coords": [[0.0000, 0.0000, 0.0000], [0.5000, 0.5000, 0.0000], [0.5000, 0.0000, 0.5000], [0.0000, 0.5000, 0.5000]]
}

---

[2]
{
  "formula": "ZnCd2Hg",
  "functional": "PBE-GGA",
  "state": "optimized geometry",
  "e_above_lowest_polymorph_mev_per_atom": 14.0,
  "e_form_kj_per_mol_fu": 26,
  "crystal_system": "orthorhombic",
  "cell": [[-1.9817, -0.3302, 2.1943], [2.6945, -1.6798, 2.1806], [1.9647, 6.7794, 2.7946]],
  "species": ["Hg", "Cd", "Cd", "Zn"],
  "frac_coords": [[0.5000, 0.5000, 0.2500], [0.0000, 0.0000, 0.5251], [0.0000, 0.0000, 0.9749], [0.5000, 0.5000, 0.7500]]
}